[1]
Here is a relaxed Ni3GeTe crystal from Alexandria. Energies are from PBE.

a b c (Å): 4.407 4.407 4.407
angles (deg): 90.00 90.00 90.00
Positions (direct):
Ni: 0.000 0.500 0.000
Ni: 0.000 0.000 0.500
Ni: 0.500 0.000 0.000
Ge: 0.000 0.000 0.000
Te: 0.500 0.500 0.500

Calculated values
Uncorrected formation energy   0.4186 eV per atom
Offset from the most stable computed form   0.0 meV per atom

---

[2]
Here is a relaxed MnNb2GaH crystal from Alexandria. Energies are from PBE.

a b c (Å): 4.153 4.153 3.796
angles (deg): 90.00 90.00 90.00
Positions (direct):
H: 0.000 0.000 0.000
Nb: 0.000 0.500 0.000
Nb: 0.500 0.000 0.000
Mn: 0.000 0.000 0.500
Ga: 0.500 0.500 0.500

Calculated values
Final energy   -7.314 eV per atom